Here is TlReSe2 after structural relaxation from Alexandria via LeMat-Bulk. Energies are from PBE-GGA.

Its formation energy without anion corrections is 1.050 eV/atom. The value obtained for the energy above the lowest structure with this stoichiometry is 24.153 kcal/mol of atoms.

The structure belongs to space group C2/m (No. 12); the cell edges are 5.783, 10.484 and 2.817 Å and the angles 90.00°, 108.92° and 90.00°. The inequivalent atoms are Tl at (0.000, 0.000, 0.000), Re at (0.000, 0.500, 0.000) and Se at (0.250, 0.250, 0.500).